Record 1
First-principles (PBE) data for an optimized crystal structure of IrRhBr2, as listed in Alexandria via LeMat-Bulk.

The structure in POSCAR format:
```
IrRhBr2
1.0
-4.216 -0.004 4.296
-4.226 -4.148 1.078
5.865 0.820 -1.075
Br Rh Ir
2 1 1
direct
0.250 0.750 0.500 Br
0.000 0.000 0.000 Br
0.750 0.250 0.500 Rh
0.500 0.500 0.000 Ir
```

Output
ΔE to the lowest computed polymorph, eV per atom: 0.837
Formation energy (no corrections), eV/atom: 1.019
Theoretical density, Mg/m³: 10.132
VASP energy, eV per atom: -3.8707

Record 2
First-principles (PBE) data for an optimized crystal structure of IrRhBr2, as listed in Alexandria via LeMat-Bulk.

The structure in POSCAR format:
```
IrRhBr2
1.0
3.121 -0.002 0.000
-1.764 2.575 0.000
0.000 0.000 10.267
Br Ir Rh
2 1 1
direct
0.500 0.500 0.310 Br
0.000 0.000 0.940 Br
0.000 0.000 0.520 Ir
0.500 0.500 0.731 Rh
```

Output
ΔE to the lowest computed polymorph, eV per atom: 0.441
Formation energy (no corrections), eV/atom: 0.623
Theoretical density, Mg/m³: 9.160
VASP energy, eV per atom: -4.2667

Record 3
First-principles (PBE) data for an optimized crystal structure of IrRhBr2, as listed in Alexandria via LeMat-Bulk.

The structure in POSCAR format:
```
IrRhBr2
1.0
-1.602 -3.998 -1.845
3.008 -3.344 -1.316
0.286 -3.988 2.444
Rh Br Ir
1 2 1
direct
0.750 0.750 0.750 Rh
0.250 0.250 0.250 Br
0.000 0.000 0.000 Br
0.500 0.500 0.500 Ir
```

Output
ΔE to the lowest computed polymorph, eV per atom: 0.970
Formation energy (no corrections), eV/atom: 1.152
Theoretical density, Mg/m³: 10.384
VASP energy, eV per atom: -3.7373

Record 4
First-principles (PBE) data for an optimized crystal structure of IrRhBr2, as listed in Alexandria via LeMat-Bulk.

The structure in POSCAR format:
```
IrRhBr2
1.0
-7.457 -0.507 2.750
-5.636 -0.487 5.607
-0.863 3.413 0.526
Rh Ir Br
1 1 2
direct
0.812 0.812 0.686 Rh
0.441 0.441 0.561 Ir
0.001 0.001 0.003 Br
0.246 0.246 0.251 Br
```

Output
ΔE to the lowest computed polymorph, eV per atom: 0.483
Formation energy (no corrections), eV/atom: 0.665
Theoretical density, Mg/m³: 8.254
VASP energy, eV per atom: -4.2241

Record 5
First-principles (PBE) data for an optimized crystal structure of IrRhBr2, as listed in Alexandria via LeMat-Bulk.

The structure in POSCAR format:
```
IrRhBr2
1.0
-0.999 3.043 -1.638
-0.519 -1.816 -3.058
-6.929 -1.244 1.916
Ir Br Rh
1 2 1
direct
0.000 0.000 0.588 Ir
0.000 0.000 0.920 Br
0.500 0.500 0.330 Br
0.500 0.500 0.662 Rh
```

Output
ΔE to the lowest computed polymorph, eV per atom: 0.376
Formation energy (no corrections), eV/atom: 0.558
Theoretical density, Mg/m³: 8.006
VASP energy, eV per atom: -4.3317

Record 6
First-principles (PBE) data for an optimized crystal structure of IrRhBr2, as listed in Alexandria via LeMat-Bulk.

The structure in POSCAR format:
```
IrRhBr2
1.0
8.144 0.014 0.008
7.501 3.171 0.008
7.501 1.527 2.779
Ir Br Rh
1 2 1
direct
0.250 0.250 0.250 Ir
0.497 0.497 0.497 Br
0.003 0.003 0.003 Br
0.750 0.750 0.750 Rh
```

Output
ΔE to the lowest computed polymorph, eV per atom: 0.646
Formation energy (no corrections), eV/atom: 0.828
Theoretical density, Mg/m³: 10.597
VASP energy, eV per atom: -4.0612

Question: Among the records above, which one has the highest theoretical density?
Answer: number 6

Question: Among the records above, which one has the highest formation energy (no corrections)?
Answer: number 3

Question: Which value of theoretical density does entry 1 give?
Answer: 10.132 Mg/m³

What did the second record say?
First-principles (PBE) data for an optimized crystal structure of IrRhBr2, as listed in Alexandria via LeMat-Bulk.

The structure in POSCAR format:
```
IrRhBr2
1.0
3.121 -0.002 0.000
-1.764 2.575 0.000
0.000 0.000 10.267
Br Ir Rh
2 1 1
direct
0.500 0.500 0.310 Br
0.000 0.000 0.940 Br
0.000 0.000 0.520 Ir
0.500 0.500 0.731 Rh
```

Output
ΔE to the lowest computed polymorph, eV per atom: 0.441
Formation energy (no corrections), eV/atom: 0.623
Theoretical density, Mg/m³: 9.160
VASP energy, eV per atom: -4.2667